Computed, not measured: a relaxed structure of NdY5Mg at the PBE level of DFT.

a = 9.2660 Å, b = 9.2660 Å, c = 13.3517 Å
α = 41.75°, β = 41.75°, γ = 40.95°
Last column: nearest neighbours and their distance in Å.
Fractional coordinates of all 14 atoms:
Mg (0.7422, 0.2578, 0.2500)  5 Y 3.04-3.33
Mg (0.2578, 0.7422, 0.7500)  5 Y 3.04-3.33
Y (0.7882, 0.2118, 0.7500)  1 Mg 3.04, 4 Y 3.36-3.39
Y (0.2118, 0.7882, 0.2500)  1 Mg 3.04, 4 Y 3.36-3.39
Y (0.3501, 0.3290, 0.7397)  1 Mg 3.33, 5 Y 3.35-3.60, 1 Nd 3.72
Y (0.6710, 0.6499, 0.7603)  1 Mg 3.33, 5 Y 3.35-3.60, 1 Nd 3.72
Y (0.2774, 0.2469, 0.5769)  2 Mg 3.09-3.43, 3 Y 3.35-3.39, 1 Nd 3.42
Y (0.3290, 0.3501, 0.2397)  1 Mg 3.33, 5 Y 3.35-3.60, 1 Nd 3.72
Y (0.7226, 0.7531, 0.4231)  2 Mg 3.09-3.43, 3 Y 3.35-3.39, 1 Nd 3.42
Y (0.6499, 0.6710, 0.2603)  1 Mg 3.33, 5 Y 3.35-3.60, 1 Nd 3.72
Y (0.7531, 0.7226, 0.9231)  2 Mg 3.09-3.43, 3 Y 3.35-3.39, 1 Nd 3.42
Y (0.2469, 0.2774, 0.0769)  2 Mg 3.09-3.43, 3 Y 3.35-3.39, 1 Nd 3.42
Nd (0.0000, 0.0000, 0.5000)  8 Y 3.42-3.77, 2 Mg 3.73
Nd (0.0000, 0.0000, 0.0000)  8 Y 3.42-3.77, 2 Mg 3.73

Calculated volume ... 454.37 Å³/cell
Energy of formation ... 0.14 eV per atom
ΔE to the lowest computed polymorph ... 73 meV per atom
D(E_F) ... 22.25 states/eV per cell
Magnetic moment ... 0.000 μB per formula unit